A.
Density functional theory data (PBEsol) for an optimized crystal structure of YCdCl2.

Space-group type: Cm, No. 8

a = 6.0259 Å, b = 6.0259 Å, c = 6.1720 Å
α = 117.57°, β = 117.57°, γ = 34.82°
Element x y z (fractional)
1 Y 0.0000 0.0000 0.0000
2 Cd 0.2687 0.2687 0.5348
3 Cl 0.4459 0.4459 0.2449
4 Cl 0.6369 0.6369 0.9089


B.
Density functional theory data (PBEsol) for an optimized crystal structure of YCdCl2.

Space-group type: Pmmm, No. 47

a = 3.6272 Å, b = 4.4388 Å, c = 5.4843 Å
α = 90.00°, β = 90.00°, γ = 90.00°
Element x y z (fractional)
1 Y 0.0000 0.0000 0.0000
2 Cd 0.5000 0.0000 0.5000
3 Cl 0.0000 0.5000 0.5000
4 Cl 0.5000 0.5000 0.0000


Of them, A has the highest stability.


A.
Density functional theory data (PBEsol) for an optimized crystal structure of Zn2CoTc.

Space-group type: P4/mmm, No. 123

a = 3.6270 Å, b = 3.6270 Å, c = 3.8684 Å
α = 90.00°, β = 90.00°, γ = 90.00°
Element x y z (fractional)
1 Zn 0.0000 0.5000 0.0000
2 Zn 0.5000 0.0000 0.0000
3 Co 0.0000 0.0000 0.5000
4 Tc 0.5000 0.5000 0.5000


B.
Density functional theory data (PBEsol) for an optimized crystal structure of Zn2CoTc.

Space-group type: Cm, No. 8

a = 4.4280 Å, b = 4.4280 Å, c = 4.6280 Å
α = 98.72°, β = 98.72°, γ = 34.23°
Element x y z (fractional)
1 Zn 0.0000 0.0000 0.0000
2 Zn 0.2450 0.2450 0.7800
3 Co 0.7451 0.7451 0.2884
4 Tc 0.4876 0.4876 0.4846


Of them, B has the highest stability.


A.
Density functional theory data (PBEsol) for an optimized crystal structure of MnZn2Re.

Space-group type: Cmmm, No. 65

a = 4.7385 Å, b = 4.7385 Å, c = 2.5945 Å
α = 90.00°, β = 90.00°, γ = 112.23°
Element x y z (fractional)
1 Mn 0.0000 0.0000 0.0000
2 Zn 0.0000 0.5000 0.5000
3 Zn 0.5000 0.0000 0.5000
4 Re 0.5000 0.5000 0.0000


B.
Density functional theory data (PBEsol) for an optimized crystal structure of MnZn2Re.

Space-group type: R3m, No. 160

a = 8.7504 Å, b = 8.7504 Å, c = 8.7504 Å
α = 17.54°, β = 17.54°, γ = 17.54°
Element x y z (fractional)
1 Mn 0.0000 0.0000 0.0000
2 Zn 0.2527 0.2527 0.2527
3 Zn 0.4976 0.4976 0.4976
4 Re 0.7417 0.7417 0.7417


Of them, B has the highest stability.


A.
Density functional theory data (PBEsol) for an optimized crystal structure of BeTc2Se.

Space-group type: Cm, No. 8

a = 4.4504 Å, b = 4.4504 Å, c = 4.3151 Å
α = 106.08°, β = 106.08°, γ = 39.15°
Element x y z (fractional)
1 Be 0.0000 0.0000 0.0000
2 Tc 0.4991 0.4991 0.4809
3 Tc 0.7374 0.7374 0.1298
4 Se 0.2534 0.2534 0.6893


B.
Density functional theory data (PBEsol) for an optimized crystal structure of BeTc2Se.

Space-group type: C2/m, No. 12

a = 4.1554 Å, b = 4.1554 Å, c = 4.7574 Å
α = 102.06°, β = 102.06°, γ = 40.97°
Element x y z (fractional)
1 Be 0.0000 0.0000 0.0000
2 Tc 0.2661 0.2661 0.7701
3 Tc 0.7339 0.7339 0.2299
4 Se 0.5000 0.5000 0.5000


Of them, A has the highest stability.